(1)
YAl3Zn PBE-GGA relaxed; symmetry = Cm, No. 8; M_tot = 0.00 μB/f.u.; calculated density = 4.08 Mg/m³; energy of formation from the pure elements = -342 meV/atom
1.0
3.924 0.003 1.351
-0.464 3.896 1.354
0.020 0.018 6.275
Y Al Zn
1 3 1
Cartesian
1.504 0.822 6.466 Y
2.106 3.720 4.731 Al
0.384 1.763 3.379 Al
2.847 2.338 2.601 Al
-0.315 3.193 5.388 Zn



(2)
Sr3NbB2O8 PBE-GGA relaxed; symmetry = P-3m1, No. 164; M_tot = 1.01 μB/f.u.; calculated density = 4.93 Mg/m³; ΔE_f (raw) = -2.63 eV per atom
1.0
-4.857 0.727 2.099
0.505 -1.694 -5.041
-0.031 -6.536 2.193
Sr Nb B O
3 1 2 8
Cartesian
-1.304 -5.414 -1.142 Sr
-3.080 -2.088 0.393 Sr
0.000 0.000 0.000 Sr
-0.016 -3.268 1.096 Nb
-1.290 -2.412 -2.149 B
-3.094 -5.090 1.400 B
-1.284 -1.091 -2.592 O
-3.100 -6.410 1.843 O
-0.470 -3.354 -3.053 O
-3.914 -4.148 2.304 O
-0.702 -2.575 -0.733 O
-3.681 -4.927 -0.016 O
-2.705 -3.019 -2.087 O
-1.678 -4.483 1.338 O



(3)
LaHoNi PBE-GGA relaxed; symmetry = I4mm, No. 107; M_tot = 0.00 μB/f.u.; calculated density = 7.82 Mg/m³; offset from the most stable computed form = 50.1 meV per atom; energy of formation from the pure elements = -200 meV/atom
1.0
3.474 0.000 0.000
0.000 3.474 0.000
-1.737 -1.737 6.381
Ni Ho La
1 1 1
Cartesian
1.737 1.737 2.270 Ni
0.000 0.000 3.713 Ho
0.000 0.000 0.399 La



(4)
AcGdCoPt PBE-GGA relaxed; symmetry = F-43m, No. 216; M_tot = 6.80 μB/f.u.; calculated density = 11.41 Mg/m³; energy of formation from the pure elements = -449 meV/atom
1.0
-0.582 -4.669 1.925
3.552 -3.545 -0.813
2.959 -1.558 3.829
Ac Gd Co Pt
1 1 1 1
Cartesian
0.000 0.000 0.000 Ac
2.964 -4.886 2.471 Gd
1.482 -2.443 1.235 Co
4.447 -7.330 3.706 Pt



Repeat the fourth record exactly.
AcGdCoPt PBE-GGA relaxed; symmetry = F-43m, No. 216; M_tot = 6.80 μB/f.u.; calculated density = 11.41 Mg/m³; energy of formation from the pure elements = -449 meV/atom
1.0
-0.582 -4.669 1.925
3.552 -3.545 -0.813
2.959 -1.558 3.829
Ac Gd Co Pt
1 1 1 1
Cartesian
0.000 0.000 0.000 Ac
2.964 -4.886 2.471 Gd
1.482 -2.443 1.235 Co
4.447 -7.330 3.706 Pt



> Which of these has the highest M_tot?

AcGdCoPt